Run one
Density functional theory data (PBE-GGA) for a relaxed CrGaAg3 crystal.

Properties
SG: Pm-3m (221)
spin magnetization: 0.930 μB/atom
crystal system: cubic

Lattice parameters (Å, degrees): 5.067 5.067 5.067 90.00 90.00 90.00
Fractional coordinates of all 5 atoms:
Cr 0.000 0.000 0.000
Ga 0.500 0.500 0.500
Ag 0.000 0.000 0.500
Ag 0.000 0.500 0.000
Ag 0.500 0.000 0.000

=====

Run two
Density functional theory data (PBE-GGA) for a relaxed CrGaAg3 crystal.

Properties
SG: Pm-3m (221)
spin magnetization: 0.893 μB/atom
crystal system: cubic

Lattice parameters (Å, degrees): 4.831 4.831 4.831 90.00 90.00 90.00
Fractional coordinates of all 5 atoms:
Cr 0.000 0.000 0.000
Ga 0.500 0.500 0.500
Ag 0.000 0.500 0.500
Ag 0.500 0.000 0.500
Ag 0.500 0.500 0.000

=====

Stability verdict: run two, ahead by 25.9 kJ/mol of atoms

=====

Run one
Density functional theory data (PBE-GGA) for a relaxed CrGa2Ag2 crystal.

Properties
SG: I4/mmm (139)
spin magnetization: 0.825 μB/atom
crystal system: tetragonal

Lattice parameters (Å, degrees): 7.200 7.200 7.200 149.91 149.91 43.07
Fractional coordinates of all 5 atoms:
Cr 0.000 0.000 0.000
Ga 0.250 0.750 0.500
Ga 0.750 0.250 0.500
Ag 0.399 0.399 0.000
Ag 0.601 0.601 0.000

=====

Run two
Density functional theory data (PBE-GGA) for a relaxed CrGa2Ag2 crystal.

Properties
SG: P4/mbm (127)
spin magnetization: 0.826 μB/atom
crystal system: tetragonal

Lattice parameters (Å, degrees): 7.609 7.609 3.097 90.00 90.00 90.00
Fractional coordinates of all 10 atoms:
Cr 0.000 0.000 0.000
Cr 0.500 0.500 0.000
Ga 0.169 0.331 0.500
Ga 0.331 0.831 0.500
Ga 0.669 0.169 0.500
Ga 0.831 0.669 0.500
Ag 0.132 0.632 0.000
Ag 0.368 0.132 0.000
Ag 0.632 0.868 0.000
Ag 0.868 0.368 0.000

=====

Run three
Density functional theory data (PBE-GGA) for a relaxed CrGa2Ag2 crystal.

Properties
SG: I4/mmm (139)
spin magnetization: 0.000 μB/atom
crystal system: tetragonal

Lattice parameters (Å, degrees): 6.724 6.724 6.724 147.91 147.91 46.02
Fractional coordinates of all 5 atoms:
Cr 0.000 0.000 0.000
Ga 0.405 0.405 0.000
Ga 0.595 0.595 0.000
Ag 0.250 0.750 0.500
Ag 0.750 0.250 0.500

=====

Stability verdict: run two, ahead by 2.4 kJ/mol of atoms

=====

Run one
Density functional theory data (PBE-GGA) for a relaxed CrAgGe2 crystal.

Properties
SG: Fm-3m (225)
spin magnetization: 0.000 μB/atom
crystal system: cubic

Lattice parameters (Å, degrees): 4.478 4.478 4.478 60.00 60.00 60.00
Fractional coordinates of all 4 atoms:
Cr 0.000 0.000 0.000
Ag 0.500 0.500 0.500
Ge 0.250 0.250 0.250
Ge 0.750 0.750 0.750

=====

Run two
Density functional theory data (PBE-GGA) for a relaxed CrAgGe2 crystal.

Properties
SG: I-42d (122)
spin magnetization: 0.871 μB/atom
crystal system: tetragonal

Lattice parameters (Å, degrees): 5.845 5.845 5.845 103.41 103.41 122.43
Fractional coordinates of all 8 atoms:
Cr 0.000 0.000 0.000
Cr 0.750 0.250 0.500
Ag 0.250 0.750 0.500
Ag 0.500 0.500 0.000
Ge 0.120 0.625 0.995
Ge 0.375 0.370 0.495
Ge 0.630 0.125 0.005
Ge 0.875 0.880 0.505

=====

Stability verdict: run two, ahead by 6.7 kJ/mol of atoms